No. 1
Tm2ZnB2Ru5: relaxed, PBE.

```
data_Tm2ZnB2Ru5
_chemical_formula_sum 'Tm4 Zn2 B4 Ru10'
_space_group_name_H-M_alt 'P 4/m b m'
_space_group_IT_number 127
_space_group_name_Hall '-P 4 2ab'
_cell_length_a 9.520
_cell_length_b 9.520
_cell_length_c 3.107
_cell_angle_alpha 90.00
_cell_angle_beta 90.00
_cell_angle_gamma 90.00
loop_
_atom_site_label
_atom_site_type_symbol
_atom_site_fract_x
_atom_site_fract_y
_atom_site_fract_z
Tm1 Tm 0.176 0.324 0.000
Zn1 Zn 0.000 0.000 0.000
B1 B 0.125 0.625 0.000
Ru1 Ru 0.000 0.500 0.500
Ru2 Ru 0.070 0.782 0.500
```

Output
energy relative to the elements: -0.4150 eV per atom


No. 2
SiHg2As2: relaxed, PBE.

```
data_SiHg2As2
_chemical_formula_sum 'Si2 Hg4 As4'
_space_group_name_H-M_alt 'I 4/m m m'
_space_group_IT_number 139
_space_group_name_Hall '-I 4 2'
_cell_length_a 3.921
_cell_length_b 3.921
_cell_length_c 16.511
_cell_angle_alpha 90.00
_cell_angle_beta 90.00
_cell_angle_gamma 90.00
loop_
_atom_site_label
_atom_site_type_symbol
_atom_site_fract_x
_atom_site_fract_y
_atom_site_fract_z
Si1 Si 0.000 0.000 0.000
Hg1 Hg 0.000 0.500 0.250
As1 As 0.000 0.000 0.428
```


No. 3
La2Sc2W: relaxed, PBE.

```
data_La2Sc2W
_chemical_formula_sum 'La4 Sc4 W2'
_space_group_name_H-M_alt 'P 4/m b m'
_space_group_IT_number 127
_space_group_name_Hall '-P 4 2ab'
_cell_length_a 7.064
_cell_length_b 7.064
_cell_length_c 5.470
_cell_angle_alpha 90.00
_cell_angle_beta 90.00
_cell_angle_gamma 90.00
loop_
_atom_site_label
_atom_site_type_symbol
_atom_site_fract_x
_atom_site_fract_y
_atom_site_fract_z
La1 La 0.173 0.327 0.000
Sc1 Sc 0.156 0.656 0.500
W1 W 0.000 0.000 0.500
```

Output
energy relative to the elements: 0.5073 eV per atom


No. 4
TmGeAs: relaxed, PBE.

```
data_TmGeAs
_chemical_formula_sum 'Tm4 Ge4 As4'
_space_group_name_H-M_alt 'C m c m'
_space_group_IT_number 63
_space_group_name_Hall '-C 2c 2'
_cell_length_a 4.047
_cell_length_b 15.850
_cell_length_c 3.899
_cell_angle_alpha 90.00
_cell_angle_beta 90.00
_cell_angle_gamma 90.00
loop_
_atom_site_label
_atom_site_type_symbol
_atom_site_fract_x
_atom_site_fract_y
_atom_site_fract_z
Tm1 Tm 0.000 0.109 0.250
Ge1 Ge 0.000 0.448 0.250
As1 As 0.000 0.251 0.750
```

Output
energy relative to the elements: -0.7838 eV per atom


Density (g/cm³)
10.97, 7.58, 6.71, 8.41
D(E_F) (states/eV/atom)
1.17, 0.43, 1.08, 0.33
DFT total energy (eV for the cell shown)
-148.20, -26.15, -65.87, -64.36